No. 1
# NaCu4P2ClO9, optimized geometry, DFT GGA-PBEsol
# energy relative to the elements, uncorrected: -1.382 eV/atom
data_NaCu4P2ClO9
_symmetry_space_group_name_H-M 'P 1 21/c 1'
_symmetry_Int_Tables_number 14
_cell_length_a 8.3394
_cell_length_b 6.3913
_cell_length_c 16.4405
_cell_angle_alpha 90.00
_cell_angle_beta 108.94
_cell_angle_gamma 90.00
loop_
_symmetry_equiv_pos_as_xyz
'x,y,z'
'-x,-y,-z'
'-x,y+1/2,-z+1/2'
'x,-y+1/2,z+1/2'
loop_
_atom_site_label
_atom_site_fract_x
_atom_site_fract_y
_atom_site_fract_z
_atom_site_occupancy
Na1 0.1579 0.0013 0.1719 1
Cu1 0.1702 0.7478 0.9428 1
Cu2 0.1937 0.5051 0.1530 1
Cu3 0.3917 0.7452 0.3344 1
Cu4 0.5000 0.0000 0.0000 1
Cu5 0.5000 0.0000 0.5000 1
P1 0.1219 0.2344 0.4836 1
P2 0.4618 0.2434 0.8109 1
Cl1 0.0877 0.7224 0.2903 1
O1 0.0428 0.7195 0.0932 1
O2 0.0685 0.2191 0.5684 1
O3 0.2117 0.0574 0.9830 1
O4 0.2437 0.0470 0.4891 1
O5 0.3197 0.2133 0.7246 1
O6 0.3680 0.7305 0.2122 1
O7 0.4054 0.7484 0.4530 1
O8 0.4347 0.0580 0.3570 1
O9 0.4813 0.0504 0.8706 1

No. 2
# BTe3Au, optimized geometry, DFT GGA-PBEsol
# energy relative to the elements, uncorrected: 1.403 eV/atom
# energy above the lowest structure with this stoichiometry: 597 meV per atom
data_BTe3Au
_symmetry_space_group_name_H-M 'P m -3 m'
_symmetry_Int_Tables_number 221
_symmetry_space_group_name_Hall '-P 4 2 3'
_cell_length_a 5.3508
_cell_length_b 5.3508
_cell_length_c 5.3508
_cell_angle_alpha 90.00
_cell_angle_beta 90.00
_cell_angle_gamma 90.00
loop_
_atom_site_label
_atom_site_fract_x
_atom_site_fract_y
_atom_site_fract_z
_atom_site_occupancy
B1 0.0000 0.0000 0.0000 1
Te1 0.0000 0.5000 0.5000 1
Au1 0.5000 0.5000 0.5000 1

No. 3
# MoOs3Cl, optimized geometry, DFT GGA-PBEsol
# energy relative to the elements, uncorrected: 1.929 eV/atom
data_MoOs3Cl
_symmetry_space_group_name_H-M 'P m -3 m'
_symmetry_Int_Tables_number 221
_symmetry_space_group_name_Hall '-P 4 2 3'
_cell_length_a 4.2822
_cell_length_b 4.2822
_cell_length_c 4.2822
_cell_angle_alpha 90.00
_cell_angle_beta 90.00
_cell_angle_gamma 90.00
loop_
_atom_site_label
_atom_site_fract_x
_atom_site_fract_y
_atom_site_fract_z
_atom_site_occupancy
Mo1 0.0000 0.0000 0.0000 1
Os1 0.0000 0.5000 0.5000 1
Cl1 0.5000 0.5000 0.5000 1

No. 4
# SiRu2Rh, optimized geometry, DFT GGA-PBEsol
# energy relative to the elements, uncorrected: -0.298 eV/atom
data_SiRu2Rh
_symmetry_space_group_name_H-M 'I m m m'
_symmetry_Int_Tables_number 71
_symmetry_space_group_name_Hall '-I 2 2'
_cell_length_a 2.8061
_cell_length_b 4.2389
_cell_length_c 8.8152
_cell_angle_alpha 90.00
_cell_angle_beta 90.00
_cell_angle_gamma 90.00
loop_
_atom_site_label
_atom_site_fract_x
_atom_site_fract_y
_atom_site_fract_z
_atom_site_occupancy
Si1 0.0000 0.0000 0.0000 1
Ru1 0.0000 0.5000 0.2835 1
Rh1 0.0000 0.0000 0.5000 1

No. 5
# Y3ScTe, optimized geometry, DFT GGA-PBEsol
# energy relative to the elements, uncorrected: 0.029 eV/atom
data_Y3ScTe
_symmetry_space_group_name_H-M 'P m -3 m'
_symmetry_Int_Tables_number 221
_symmetry_space_group_name_Hall '-P 4 2 3'
_cell_length_a 5.5821
_cell_length_b 5.5821
_cell_length_c 5.5821
_cell_angle_alpha 90.00
_cell_angle_beta 90.00
_cell_angle_gamma 90.00
loop_
_atom_site_label
_atom_site_fract_x
_atom_site_fract_y
_atom_site_fract_z
_atom_site_occupancy
Y1 0.0000 0.0000 0.5000 1
Sc1 0.5000 0.5000 0.5000 1
Te1 0.0000 0.0000 0.0000 1

No. 6
Mn3MoC after structural relaxation, computed with GGA-PBEsol.

Structure (CIF):
```
data_Mn3MoC
_symmetry_space_group_name_H-M 'P m -3 m'
_symmetry_Int_Tables_number 221
_symmetry_space_group_name_Hall '-P 4 2 3'
_cell_length_a 3.7391
_cell_length_b 3.7391
_cell_length_c 3.7391
_cell_angle_alpha 90.00
_cell_angle_beta 90.00
_cell_angle_gamma 90.00
loop_
_atom_site_label
_atom_site_fract_x
_atom_site_fract_y
_atom_site_fract_z
_atom_site_occupancy
Mn1 0.0000 0.0000 0.5000 1
Mo1 0.5000 0.5000 0.5000 1
C1 0.0000 0.0000 0.0000 1
```

No. 7
# ZrSi, optimized geometry, DFT GGA-PBEsol
# energy relative to the elements, uncorrected: -0.362 eV/atom
data_ZrSi
_symmetry_space_group_name_H-M 'P 4/n m m'
_symmetry_Int_Tables_number 129
_cell_length_a 3.1722
_cell_length_b 3.1722
_cell_length_c 7.0930
_cell_angle_alpha 90.00
_cell_angle_beta 90.00
_cell_angle_gamma 90.00
loop_
_symmetry_equiv_pos_as_xyz
'x,y,z'
'-x,-y,-z'
'-y+1/2,x,z'
'y+1/2,-x,-z'
'-x+1/2,-y+1/2,z'
'x+1/2,y+1/2,-z'
'y,-x+1/2,z'
'-y,x+1/2,-z'
'x+1/2,-y,-z'
'-x+1/2,y,z'
'-y,-x,-z'
'y,x,z'
'-x,y+1/2,-z'
'x,-y+1/2,z'
'y+1/2,x+1/2,-z'
'-y+1/2,-x+1/2,z'
loop_
_atom_site_label
_atom_site_fract_x
_atom_site_fract_y
_atom_site_fract_z
_atom_site_occupancy
Zr1 0.2500 0.2500 0.1818 1
Si1 0.2500 0.2500 0.5818 1

No. 8
YCo2Ni after structural relaxation, computed with GGA-PBEsol.

Structure (CIF):
```
data_YCo2Ni
_symmetry_space_group_name_H-M 'R 3 m'
_symmetry_Int_Tables_number 160
_symmetry_space_group_name_Hall 'R 3 -2"'
_cell_length_a 3.9213
_cell_length_b 3.9213
_cell_length_c 13.8400
_cell_angle_alpha 90.00
_cell_angle_beta 90.00
_cell_angle_gamma 120.00
loop_
_atom_site_label
_atom_site_fract_x
_atom_site_fract_y
_atom_site_fract_z
_atom_site_occupancy
Y1 0.0000 0.0000 0.0000 1
Co1 0.0000 0.0000 0.4886 1
Co2 0.0000 0.0000 0.8061 1
Ni1 0.0000 0.0000 0.2002 1
```

No. 9
K5SnBi3 after structural relaxation, computed with GGA-PBEsol.

Structure (CIF):
```
data_K5SnBi3
_symmetry_space_group_name_H-M 'P 1 21/c 1'
_symmetry_Int_Tables_number 14
_cell_length_a 10.0781
_cell_length_b 8.7250
_cell_length_c 19.0912
_cell_angle_alpha 90.00
_cell_angle_beta 121.73
_cell_angle_gamma 90.00
loop_
_symmetry_equiv_pos_as_xyz
'x,y,z'
'-x,-y,-z'
'-x,y+1/2,-z+1/2'
'x,-y+1/2,z+1/2'
loop_
_atom_site_label
_atom_site_fract_x
_atom_site_fract_y
_atom_site_fract_z
_atom_site_occupancy
K1 0.0006 0.1828 0.4226 1
K2 0.0610 0.5040 0.7553 1
K3 0.2983 0.0002 0.0874 1
K4 0.3135 0.1641 0.7390 1
K5 0.4122 0.5176 0.0776 1
Sn1 0.3397 0.6475 0.4113 1
Bi1 0.0761 0.7338 0.9190 1
Bi2 0.3506 0.1938 0.9329 1
Bi3 0.3516 0.7392 0.2678 1
```

No. 10
# LiMnSe2, optimized geometry, DFT GGA-PBEsol
# energy relative to the elements, uncorrected: -0.324 eV/atom
data_LiMnSe2
_symmetry_space_group_name_H-M 'P 4/m m m'
_symmetry_Int_Tables_number 123
_symmetry_space_group_name_Hall '-P 4 2'
_cell_length_a 4.5893
_cell_length_b 4.5893
_cell_length_c 3.1577
_cell_angle_alpha 90.00
_cell_angle_beta 90.00
_cell_angle_gamma 90.00
loop_
_atom_site_label
_atom_site_fract_x
_atom_site_fract_y
_atom_site_fract_z
_atom_site_occupancy
Li1 0.0000 0.0000 0.0000 1
Mn1 0.5000 0.5000 0.0000 1
Se1 0.0000 0.5000 0.5000 1

No. 11
# Sc2TlO2, optimized geometry, DFT GGA-PBEsol
# energy relative to the elements, uncorrected: -2.401 eV/atom
data_Sc2TlO2
_symmetry_space_group_name_H-M 'I 4/m m m'
_symmetry_Int_Tables_number 139
_symmetry_space_group_name_Hall '-I 4 2'
_cell_length_a 3.5764
_cell_length_b 3.5764
_cell_length_c 13.4035
_cell_angle_alpha 90.00
_cell_angle_beta 90.00
_cell_angle_gamma 90.00
loop_
_atom_site_label
_atom_site_fract_x
_atom_site_fract_y
_atom_site_fract_z
_atom_site_occupancy
Sc1 0.0000 0.0000 0.1752 1
Tl1 0.0000 0.0000 0.5000 1
O1 0.0000 0.5000 0.2500 1

No. 12
LiCdRu2 after structural relaxation, computed with GGA-PBEsol.

Structure (CIF):
```
data_LiCdRu2
_symmetry_space_group_name_H-M 'C m m m'
_symmetry_Int_Tables_number 65
_symmetry_space_group_name_Hall '-C 2 2'
_cell_length_a 4.8912
_cell_length_b 8.7855
_cell_length_c 2.7374
_cell_angle_alpha 90.00
_cell_angle_beta 90.00
_cell_angle_gamma 90.00
loop_
_atom_site_label
_atom_site_fract_x
_atom_site_fract_y
_atom_site_fract_z
_atom_site_occupancy
Li1 0.0000 0.0000 0.0000 1
Cd1 0.0000 0.5000 0.0000 1
Ru1 0.2500 0.2500 0.5000 1
```

For reference, total DFT energy (no corrections) by record: -6.062 -2.901 -8.156 -8.856 -6.090 -10.179 -7.780 -7.247 -2.889 -5.181 -7.669 -5.454 eV/atom.
For reference, DOS(E_F) by record: 14.806 4.199 5.240 6.978 11.428 3.872 3.434 11.934 6.219 2.215 4.219 8.610 states/eV/cell.